Entry 1:
# BeZn2Ag

BeZn2Ag after structural relaxation (GGA-PBE, the Alexandria database).

abc: 2.799 2.799 8.521
angles: 80.55 80.55 60.00
Fractional positions:
1 Ag 0.500 0.500 0.499
2 Zn 0.259 0.259 0.224
3 Be 0.667 0.667 0.000
4 Zn 0.074 0.074 0.777

Computed properties:
energy = -2.1234 eV/atom
space group = R3m

---

Entry 2:
# SbPBr2

SbPBr2 after structural relaxation (GGA-PBE, the Alexandria database).

abc: 5.117 5.117 5.117
angles: 60.00 60.00 60.00
Fractional positions:
1 Br 0.250 0.250 0.250
2 Sb 0.500 0.500 0.500
3 Br 0.750 0.750 0.750
4 P 0.000 0.000 0.000

Computed properties:
uncorrected formation energy = 64 kJ per mole of atoms
space group = Fm-3m
relative energy among the computed polymorphs = 865 meV per atom

---

Entry 3:
# Sm2Dy2Er5

Sm2Dy2Er5 after structural relaxation (GGA-PBE, the Alexandria database).

abc: 3.585 7.374 13.174
angles: 119.57 97.84 75.94
Fractional positions:
1 Dy 0.690 0.730 0.110
2 Er 0.214 0.183 0.610
3 Er 0.610 0.593 0.813
4 Sm 0.072 0.203 0.344
5 Er 0.390 0.407 0.187
6 Er 0.786 0.817 0.390
7 Dy 0.310 0.270 0.890
8 Er 0.000 0.000 0.000
9 Sm 0.928 0.797 0.656

Computed properties:
space group = P-1
relative energy among the computed polymorphs = 0 meV per atom